[1]
The following is a PBE-GGA calculation of an optimized crystal structure of TbTa2, from OQMD.

Summary:
As for the total moment: 0.0 μB/f.u. The calculation puts the energy relative to the elements at 275 meV per atom. As for the space group: Fd-3m, No. 227.

Unit cell a=5.729 b=5.729 c=5.729 alpha=60.00 beta=60.00 gamma=60.00
Sites, in units of the cell vectors:
1 Ta 0.625 0.125 0.625
2 Ta 0.625 0.625 0.125
3 Tb 0.000 0.000 0.000
4 Ta 0.625 0.625 0.625
5 Ta 0.125 0.625 0.625
6 Tb 0.250 0.250 0.250

---

[2]
The following is a PBE-GGA calculation of an optimized crystal structure of TbTaTe, from OQMD.

Summary:
As for the total moment: 0.0 μB/f.u. As for the space group: F-43m, No. 216. As for the total energy: -6.26 eV/atom.

Unit cell a=4.802 b=4.802 c=4.802 alpha=60.00 beta=60.00 gamma=60.00
Sites, in units of the cell vectors:
1 Ta 0.250 0.250 0.250
2 Te 0.000 0.000 0.000
3 Tb 0.750 0.750 0.750

---

[3]
The following is a PBE-GGA calculation of an optimized crystal structure of TbTmTa, from OQMD.

Summary:
As for the total moment: 1.4 μB/f.u. The calculation puts the energy relative to the elements at 1276 meV per atom. As for the space group: F-43m, No. 216.

Unit cell a=4.979 b=4.979 c=4.979 alpha=60.00 beta=60.00 gamma=60.00
Sites, in units of the cell vectors:
1 Tm 0.000 0.000 0.000
2 Tb 0.750 0.750 0.750
3 Ta 0.250 0.250 0.250

---

[4]
The following is a PBE-GGA calculation of an optimized crystal structure of TbUTa, from OQMD.

Summary:
As for the total moment: 3.1 μB/f.u. The calculation puts the energy relative to the elements at 1446 meV per atom. As for the space group: F-43m, No. 216.

Unit cell a=4.820 b=4.820 c=4.820 alpha=60.00 beta=60.00 gamma=60.00
Sites, in units of the cell vectors:
1 Tb 0.750 0.750 0.750
2 U 0.000 0.000 0.000
3 Ta 0.250 0.250 0.250

---

[5]
The following is a PBE-GGA calculation of an optimized crystal structure of TbU2Ta5, from OQMD.

Summary:
As for the total moment: 4.3 μB/f.u. The calculation puts the energy relative to the elements at 1578 meV per atom. As for the space group: P4/mmm, No. 123.

Unit cell a=6.333 b=6.333 c=4.910 alpha=90.00 beta=90.00 gamma=90.00
Site moments in Bohr magnetons follow the coordinates.
Sites, in units of the cell vectors:
1 Ta 0.000 0.000 0.500  0.17
2 U 0.000 0.500 0.500  1.88
3 Ta 0.294 0.294 0.000  -0.05
4 Ta 0.706 0.706 0.000  -0.05
5 U 0.500 0.000 0.500  2.07
6 Ta 0.294 0.706 0.000  -0.04
7 Ta 0.706 0.294 0.000  -0.04
8 Tb 0.000 0.000 0.000  -0.04

---

[6]
The following is a PBE-GGA calculation of an optimized crystal structure of TbTaW, from OQMD.

Summary:
As for the total moment: 0.0 μB/f.u. The calculation puts the energy relative to the elements at 788 meV per atom. As for the space group: F-43m, No. 216.

Unit cell a=4.611 b=4.611 c=4.611 alpha=60.00 beta=60.00 gamma=60.00
Sites, in units of the cell vectors:
1 W 0.000 0.000 0.000
2 Tb 0.750 0.750 0.750
3 Ta 0.250 0.250 0.250

---

[7]
The following is a PBE-GGA calculation of an optimized crystal structure of TbTaZn, from OQMD.

Summary:
As for the total moment: 0.0 μB/f.u. The calculation puts the energy relative to the elements at 585 meV per atom. As for the space group: F-43m, No. 216.

Unit cell a=4.584 b=4.584 c=4.584 alpha=60.00 beta=60.00 gamma=60.00
Sites, in units of the cell vectors:
1 Tb 0.750 0.750 0.750
2 Ta 0.250 0.250 0.250
3 Zn 0.000 0.000 0.000

---

[8]
The following is a PBE-GGA calculation of an optimized crystal structure of TbZrTa, from OQMD.

Summary:
As for the total moment: 0.0 μB/f.u. The calculation puts the energy relative to the elements at 1073 meV per atom. As for the space group: F-43m, No. 216.

Unit cell a=4.815 b=4.815 c=4.815 alpha=60.00 beta=60.00 gamma=60.00
Sites, in units of the cell vectors:
1 Zr 0.000 0.000 0.000
2 Ta 0.250 0.250 0.250
3 Tb 0.750 0.750 0.750

---

[9]
The following is a PBE-GGA calculation of an optimized crystal structure of Ta2Tc, from OQMD.

Summary:
As for the total moment: 1.1 μB/f.u. The calculation puts the energy relative to the elements at 466 meV per atom. As for the space group: Fd-3m, No. 227. The energy above the lowest structure with this stoichiometry comes out at 0.0 meV/atom.

Unit cell a=5.325 b=5.325 c=5.325 alpha=60.00 beta=60.00 gamma=60.00
Site moments in Bohr magnetons follow the coordinates.
Sites, in units of the cell vectors:
1 Ta 0.625 0.625 0.125  0.00
2 Ta 0.125 0.625 0.625  -0.01
3 Tc 0.250 0.250 0.250  1.04
4 Ta 0.625 0.625 0.625  0.00
5 Tc 0.000 0.000 0.000  1.04
6 Ta 0.625 0.125 0.625  0.03

---

[10]
The following is a PBE-GGA calculation of an optimized crystal structure of TaTc2, from OQMD.

Summary:
As for the total moment: 4.6 μB/f.u. The calculation puts the energy relative to the elements at 3457 meV per atom. As for the space group: Fd-3m, No. 227. The energy above the lowest structure with this stoichiometry comes out at 3551.9 meV/atom.

Unit cell a=7.888 b=7.888 c=7.888 alpha=60.00 beta=60.00 gamma=60.00
Site moments in Bohr magnetons follow the coordinates.
Sites, in units of the cell vectors:
1 Ta 0.250 0.250 0.250  -0.60
2 Tc 0.375 0.375 0.375  2.20
3 Ta 0.500 0.500 0.500  -0.60
4 Tc 0.875 0.375 0.375  2.03
5 Tc 0.375 0.375 0.875  2.22
6 Tc 0.375 0.875 0.375  2.24

---

[11]
The following is a PBE-GGA calculation of an optimized crystal structure of Ta2Tc, from OQMD.

Summary:
As for the total moment: 2.6 μB/f.u. The calculation puts the energy relative to the elements at 3307 meV per atom. As for the space group: Fd-3m, No. 227. The energy above the lowest structure with this stoichiometry comes out at 2840.9 meV/atom.

Unit cell a=7.734 b=7.734 c=7.734 alpha=60.00 beta=60.00 gamma=60.00
Site moments in Bohr magnetons follow the coordinates.
Sites, in units of the cell vectors:
1 Tc 0.500 0.500 0.500  -0.23
2 Tc 0.250 0.250 0.250  -0.23
3 Ta 0.375 0.375 0.875  0.94
4 Ta 0.375 0.375 0.375  0.94
5 Ta 0.875 0.375 0.375  0.85
6 Ta 0.375 0.875 0.375  0.99

---

[12]
The following is a PBE-GGA calculation of an optimized crystal structure of ThTaTc, from OQMD.

Summary:
As for the total moment: 0.0 μB/f.u. The calculation puts the energy relative to the elements at 1247 meV per atom. As for the space group: F-43m, No. 216.

Unit cell a=4.604 b=4.604 c=4.604 alpha=60.00 beta=60.00 gamma=60.00
Sites, in units of the cell vectors:
1 Tc 0.000 0.000 0.000
2 Th 0.250 0.250 0.250
3 Ta 0.500 0.500 0.500

---

[13]
The following is a PBE-GGA calculation of an optimized crystal structure of TaTlTc, from OQMD.

Summary:
As for the total moment: 0.0 μB/f.u. As for the space group: F-43m, No. 216. The energy above the lowest structure with this stoichiometry comes out at 0.0 meV/atom.

Unit cell a=4.482 b=4.482 c=4.482 alpha=60.00 beta=60.00 gamma=60.00
Sites, in units of the cell vectors:
1 Tc 0.000 0.000 0.000
2 Tl 0.750 0.750 0.750
3 Ta 0.250 0.250 0.250

---

[14]
The following is a PBE-GGA calculation of an optimized crystal structure of TaTl2Tc, from OQMD.

Summary:
As for the total moment: 0.0 μB/f.u. As for the space group: F-43m, No. 216. As for the total energy: -5.88 eV/atom.

Unit cell a=4.818 b=4.818 c=4.818 alpha=60.00 beta=60.00 gamma=60.00
Sites, in units of the cell vectors:
1 Ta 0.750 0.750 0.750
2 Tc 0.000 0.000 0.000
3 Tl 0.250 0.250 0.250
4 Tl 0.500 0.500 0.500

---

[15]
The following is a PBE-GGA calculation of an optimized crystal structure of TaTlTc2, from OQMD.

Summary:
As for the total moment: 0.6 μB/f.u. As for the space group: F-43m, No. 216. As for the total energy: -8.11 eV/atom.

Unit cell a=4.601 b=4.601 c=4.601 alpha=60.00 beta=60.00 gamma=60.00
Sites, in units of the cell vectors:
1 Tc 0.750 0.750 0.750
2 Ta 0.250 0.250 0.250
3 Tc 0.000 0.000 0.000
4 Tl 0.500 0.500 0.500

---

[16]
The following is a PBE-GGA calculation of an optimized crystal structure of UTaTc, from OQMD.

Summary:
As for the total moment: 0.0 μB/f.u. The calculation puts the energy relative to the elements at 861 meV per atom. As for the space group: F-43m, No. 216.

Unit cell a=4.422 b=4.422 c=4.422 alpha=60.00 beta=60.00 gamma=60.00
Sites, in units of the cell vectors:
1 Tc 0.750 0.750 0.750
2 U 0.000 0.000 0.000
3 Ta 0.250 0.250 0.250

---

[17]
The following is a PBE-GGA calculation of an optimized crystal structure of TaTcW, from OQMD.

Summary:
As for the total moment: 0.0 μB/f.u. The calculation puts the energy relative to the elements at 545 meV per atom. As for the space group: F-43m, No. 216. The energy above the lowest structure with this stoichiometry comes out at 0.0 meV/atom.

Unit cell a=4.322 b=4.322 c=4.322 alpha=60.00 beta=60.00 gamma=60.00
Sites, in units of the cell vectors:
1 Ta 0.250 0.250 0.250
2 W 0.750 0.750 0.750
3 Tc 0.000 0.000 0.000

---

[18]
The following is a PBE-GGA calculation of an optimized crystal structure of YTaTc, from OQMD.

Summary:
As for the total moment: 0.0 μB/f.u. The calculation puts the energy relative to the elements at 354 meV per atom. As for the space group: F-43m, No. 216. The energy above the lowest structure with this stoichiometry comes out at 0.0 meV/atom.

Unit cell a=4.557 b=4.557 c=4.557 alpha=60.00 beta=60.00 gamma=60.00
Sites, in units of the cell vectors:
1 Y 0.750 0.750 0.750
2 Ta 0.250 0.250 0.250
3 Tc 0.000 0.000 0.000

---

[19]
The following is a PBE-GGA calculation of an optimized crystal structure of Y2TaTc, from OQMD.

Summary:
As for the total moment: 0.0 μB/f.u. The calculation puts the energy relative to the elements at 346 meV per atom. As for the space group: F-43m, No. 216.

Unit cell a=4.929 b=4.929 c=4.929 alpha=60.00 beta=60.00 gamma=60.00
Sites, in units of the cell vectors:
1 Ta 0.750 0.750 0.750
2 Y 0.500 0.500 0.500
3 Tc 0.000 0.000 0.000
4 Y 0.250 0.250 0.250

---

[20]
The following is a PBE-GGA calculation of an optimized crystal structure of YTaTc, from OQMD.

Summary:
As for the total moment: 0.0 μB/f.u. The calculation puts the energy relative to the elements at 1587 meV per atom. As for the space group: F-43m, No. 216. The energy above the lowest structure with this stoichiometry comes out at 1233.6 meV/atom.

Unit cell a=4.548 b=4.548 c=4.548 alpha=60.00 beta=60.00 gamma=60.00
Sites, in units of the cell vectors:
1 Y 0.250 0.250 0.250
2 Tc 0.000 0.000 0.000
3 Ta 0.500 0.500 0.500

---

[21]
The following is a PBE-GGA calculation of an optimized crystal structure of TaZnTc2, from OQMD.

Summary:
As for the total moment: 0.0 μB/f.u. The calculation puts the energy relative to the elements at 141 meV per atom. As for the space group: F-43m, No. 216.

Unit cell a=4.426 b=4.426 c=4.426 alpha=60.00 beta=60.00 gamma=60.00
Sites, in units of the cell vectors:
1 Ta 0.250 0.250 0.250
2 Tc 0.750 0.750 0.750
3 Zn 0.500 0.500 0.500
4 Tc 0.000 0.000 0.000

---

[22]
The following is a PBE-GGA calculation of an optimized crystal structure of Ta3Te4, from OQMD.

Summary:
As for the total moment: 0.0 μB/f.u. As for the space group: P6_3/m, No. 176. As for the total energy: -7.16 eV/atom.

Unit cell a=10.809 b=3.618 c=10.809 alpha=90.00 beta=120.00 gamma=90.00
Sites, in units of the cell vectors:
1 Te 0.069 0.750 0.232
2 Te 0.268 0.750 0.837
3 Te 0.333 0.250 0.167
4 Te 0.667 0.750 0.833
5 Te 0.931 0.250 0.768
6 Ta 0.902 0.250 0.012
7 Te 0.337 0.250 0.569
8 Ta 0.390 0.750 0.402
9 Ta 0.610 0.250 0.598
10 Ta 0.098 0.750 0.988
11 Te 0.732 0.250 0.163
12 Ta 0.488 0.250 0.890
13 Te 0.663 0.750 0.431
14 Ta 0.512 0.750 0.110

---

[23]
The following is a PBE-GGA calculation of an optimized crystal structure of TaTe, from OQMD.

Summary:
As for the total moment: 0.0 μB/f.u. As for the space group: Fm-3m, No. 225. As for the total energy: -6.70 eV/atom.

Unit cell a=4.025 b=4.025 c=4.025 alpha=60.00 beta=60.00 gamma=60.00
Sites, in units of the cell vectors:
1 Te 0.500 0.500 0.500
2 Ta 0.000 0.000 0.000

---

[24]
The following is a PBE-GGA calculation of an optimized crystal structure of ThTaTe, from OQMD.

Summary:
As for the total moment: 0.1 μB/f.u. As for the space group: F-43m, No. 216. As for the total energy: -6.98 eV/atom.

Unit cell a=4.954 b=4.954 c=4.954 alpha=60.00 beta=60.00 gamma=60.00
Sites, in units of the cell vectors:
1 Ta 0.250 0.250 0.250
2 Th 0.750 0.750 0.750
3 Te 0.000 0.000 0.000

---

[25]
The following is a PBE-GGA calculation of an optimized crystal structure of TaTlTe, from OQMD.

Summary:
As for the total moment: 0.2 μB/f.u. As for the space group: F-43m, No. 216. The energy above the lowest structure with this stoichiometry comes out at 0.0 meV/atom.

Unit cell a=4.811 b=4.811 c=4.811 alpha=60.00 beta=60.00 gamma=60.00
Sites, in units of the cell vectors:
1 Ta 0.000 0.000 0.000
2 Tl 0.750 0.750 0.750
3 Te 0.250 0.250 0.250

---

[26]
The following is a PBE-GGA calculation of an optimized crystal structure of TaTlTe, from OQMD.

Summary:
As for the total moment: 0.0 μB/f.u. As for the space group: F-43m, No. 216. The energy above the lowest structure with this stoichiometry comes out at 299.5 meV/atom.

Unit cell a=4.850 b=4.850 c=4.850 alpha=60.00 beta=60.00 gamma=60.00
Sites, in units of the cell vectors:
1 Ta 0.250 0.250 0.250
2 Te 0.000 0.000 0.000
3 Tl 0.750 0.750 0.750

---

[27]
The following is a PBE-GGA calculation of an optimized crystal structure of YTa2Te, from OQMD.

Summary:
As for the total moment: 0.0 μB/f.u. As for the space group: F-43m, No. 216. As for the total energy: -8.05 eV/atom.

Unit cell a=4.945 b=4.945 c=4.945 alpha=60.00 beta=60.00 gamma=60.00
Sites, in units of the cell vectors:
1 Ta 0.750 0.750 0.750
2 Te 0.500 0.500 0.500
3 Y 0.250 0.250 0.250
4 Ta 0.000 0.000 0.000

---

[28]
The following is a PBE-GGA calculation of an optimized crystal structure of Ta2ZnTe, from OQMD.

Summary:
As for the total moment: 0.0 μB/f.u. As for the space group: F-43m, No. 216. As for the total energy: -6.51 eV/atom.

Unit cell a=4.748 b=4.748 c=4.748 alpha=60.00 beta=60.00 gamma=60.00
Sites, in units of the cell vectors:
1 Te 0.750 0.750 0.750
2 Zn 0.500 0.500 0.500
3 Ta 0.250 0.250 0.250
4 Ta 0.000 0.000 0.000

---

[29]
The following is a PBE-GGA calculation of an optimized crystal structure of ZrTa2Te3, from OQMD.

Summary:
As for the total moment: 0.0 μB/f.u. As for the space group: C2/m, No. 12. As for the total energy: -7.10 eV/atom.

Unit cell a=11.031 b=11.031 c=8.031 alpha=92.30 beta=92.30 gamma=19.22
Sites, in units of the cell vectors:
1 Te 0.081 0.081 0.877
2 Te 0.751 0.751 0.709
3 Zr 0.851 0.851 0.436
4 Te 0.919 0.919 0.123
5 Ta 0.539 0.539 0.641
6 Ta 0.461 0.461 0.359
7 Te 0.411 0.411 0.675
8 Zr 0.149 0.149 0.564
9 Ta 0.208 0.208 0.949
10 Ta 0.792 0.792 0.051
11 Te 0.589 0.589 0.325
12 Te 0.249 0.249 0.291

---

[30]
The following is a PBE-GGA calculation of an optimized crystal structure of ZrTa2Te, from OQMD.

Summary:
As for the total moment: 0.1 μB/f.u. As for the space group: F-43m, No. 216. As for the total energy: -8.64 eV/atom.

Unit cell a=4.839 b=4.839 c=4.839 alpha=60.00 beta=60.00 gamma=60.00
Sites, in units of the cell vectors:
1 Zr 0.750 0.750 0.750
2 Te 0.500 0.500 0.500
3 Ta 0.000 0.000 0.000
4 Ta 0.250 0.250 0.250